1.
Compound: CaFePb
Source: the Alexandria database
Functional: GGA-PBEsol
Structure: relaxed

Cell lengths 5.9003, 5.9003, 5.9003 Å; angles 145.54, 145.54, 49.54 degrees
Last column: nearest neighbours and their distance in Å.
Atoms (fractional coordinates):
Ca1 0.0000 0.0000 0.0000  5 Pb 3.13-3.33, 5 Fe 3.16-3.38, 4 Ca 3.50
Fe1 0.3156 0.3156 0.0000  4 Pb 2.73
Pb1 0.7080 0.7080 0.0000  4 Fe 2.73

Properties
Fermi-level density of states   1.71 states/eV/cell
Calculated volume   21.8 Å³ per atom
ΔH_f (0 K)   0.21 eV/atom
Total DFT energy (no corrections)   -0.17711 Ha/atom

=====

2.
Compound: CaFePb2
Source: the Alexandria database
Functional: GGA-PBEsol
Structure: relaxed

Cell lengths 3.3997, 3.3997, 7.6965 Å; angles 90.00, 90.00, 90.00 degrees
Last column: nearest neighbours and their distance in Å.
Atoms (fractional coordinates):
Ca1 0.0000 0.0000 0.0000  8 Pb 3.32, 4 Ca 3.40
Fe1 0.0000 0.0000 0.5000  8 Pb 2.87
Pb1 0.5000 0.5000 0.2968  4 Fe 2.87, 1 Pb 3.13
Pb2 0.5000 0.5000 0.7032  4 Fe 2.87, 1 Pb 3.13

Properties
Fermi-level density of states   2.91 states/eV/cell
Calculated volume   22.2 Å³ per atom
ΔH_f (0 K)   0.11 eV/atom
Total DFT energy (no corrections)   -0.17154 Ha/atom

=====

3.
Compound: CaFePd3
Source: the Alexandria database
Functional: GGA-PBEsol
Structure: relaxed

Cell lengths 4.7194, 4.7194, 4.7194 Å; angles 90.00, 90.00, 90.00 degrees
Last column: nearest neighbours and their distance in Å.
Atoms (fractional coordinates):
Ca1 0.0000 0.0000 0.0000  6 Pd 2.36
Fe1 0.5000 0.5000 0.5000  12 Pd 3.34
Pd1 0.0000 0.0000 0.5000  2 Ca 2.36
Pd2 0.0000 0.5000 0.0000  2 Ca 2.36
Pd3 0.5000 0.0000 0.0000  2 Ca 2.36

Properties
Fermi-level density of states   8.02 states/eV/cell
Calculated volume   21.0 Å³ per atom
ΔH_f (0 K)   1.28 eV/atom
Total DFT energy (no corrections)   -0.16580 Ha/atom

=====

4.
Compound: Ca3FePt
Source: the Alexandria database
Functional: GGA-PBEsol
Structure: relaxed

Cell lengths 4.9795, 4.9795, 4.9795 Å; angles 90.00, 90.00, 90.00 degrees
Last column: nearest neighbours and their distance in Å.
Atoms (fractional coordinates):
Ca1 0.0000 0.0000 0.5000  2 Fe 2.49
Ca2 0.0000 0.5000 0.0000  2 Fe 2.49
Ca3 0.5000 0.0000 0.0000  2 Fe 2.49
Fe1 0.0000 0.0000 0.0000  6 Ca 2.49
Pt1 0.5000 0.5000 0.5000  12 Ca 3.52

Properties
Fermi-level density of states   3.43 states/eV/cell
Calculated volume   24.7 Å³ per atom
ΔH_f (0 K)   0.48 eV/atom
Total DFT energy (no corrections)   -0.14641 Ha/atom

=====

5.
Compound: CaFePt
Source: the Alexandria database
Functional: GGA-PBEsol
Structure: relaxed

Cell lengths 5.6381, 5.6381, 5.6381 Å; angles 145.59, 145.59, 49.45 degrees
Last column: nearest neighbours and their distance in Å.
Atoms (fractional coordinates):
Ca1 0.0000 0.0000 0.0000  5 Fe 2.92-3.23, 5 Pt 3.05-3.14
Fe1 0.2847 0.2847 0.0000  4 Pt 2.50
Pt1 0.7025 0.7025 0.0000  4 Fe 2.50

Properties
Fermi-level density of states   3.05 states/eV/cell
Calculated volume   19.0 Å³ per atom
ΔH_f (0 K)   -0.06 eV/atom
Total DFT energy (no corrections)   -0.22349 Ha/atom

=====

6.
Compound: Rb3CaFe
Source: the Alexandria database
Functional: GGA-PBEsol
Structure: relaxed

Cell lengths 6.6490, 6.6490, 6.6490 Å; angles 90.00, 90.00, 90.00 degrees
Last column: nearest neighbours and their distance in Å.
Atoms (fractional coordinates):
Rb1 0.0000 0.0000 0.5000  2 Fe 3.32
Rb2 0.0000 0.5000 0.0000  2 Fe 3.32
Rb3 0.5000 0.0000 0.0000  2 Fe 3.32
Ca1 0.5000 0.5000 0.5000  12 Rb 4.70
Fe1 0.0000 0.0000 0.0000  6 Rb 3.32

Properties
Fermi-level density of states   14.98 states/eV/cell
Calculated volume   58.8 Å³ per atom
ΔH_f (0 K)   0.96 eV/atom
Total DFT energy (no corrections)   -0.06873 Ha/atom